(1)
# LiOs

A relaxed structure of LiOs (GGA-PBE, the Alexandria database).

Volume = 13.7 Å³/atom
Fermi-level density of states = 7.87 states/eV per cell
Uncorrected energy = -6.411 eV per atom
Spin magnetization = 0.00 μB per formula unit

Unit cell a=5.1251 b=5.1251 c=8.3232 alpha=90.00 beta=90.00 gamma=90.00
Element x y z (fractional)
1 Li 0.0403 0.3113 0.1125
2 Li 0.1887 0.5403 0.8625
3 Li 0.3113 0.0403 0.8875
4 Li 0.4597 0.8113 0.6375
5 Li 0.5403 0.1887 0.1375
6 Li 0.6887 0.9597 0.3875
7 Li 0.8113 0.4597 0.3625
8 Li 0.9597 0.6887 0.6125
9 Os 0.0045 0.1863 0.6260
10 Os 0.1863 0.0045 0.3740
11 Os 0.3137 0.5045 0.3760
12 Os 0.4955 0.6863 0.1240
13 Os 0.5045 0.3137 0.6240
14 Os 0.6863 0.4955 0.8760
15 Os 0.8137 0.9955 0.8740
16 Os 0.9955 0.8137 0.1260

(2)
# Li3Os4

A relaxed structure of Li3Os4 (GGA-PBE, the Alexandria database).

Volume = 13.6 Å³/atom
Fermi-level density of states = 4.57 states/eV per cell
Uncorrected energy = -7.009 eV per atom
Spin magnetization = 0.00 μB per formula unit

Unit cell a=11.4922 b=11.4922 c=11.4922 alpha=165.51 beta=165.51 gamma=20.55
Element x y z (fractional)
1 Li 0.0000 0.0000 0.0000
2 Li 0.2867 0.2867 0.0000
3 Li 0.7133 0.7133 0.0000
4 Os 0.1340 0.1340 0.0000
5 Os 0.4348 0.4348 0.0000
6 Os 0.5652 0.5652 0.0000
7 Os 0.8660 0.8660 0.0000

(3)
# Li3Os

A relaxed structure of Li3Os (GGA-PBE, the Alexandria database).

Volume = 15.1 Å³/atom
Fermi-level density of states = 2.11 states/eV per cell
Uncorrected energy = -4.120 eV per atom
Offset from the most stable computed form = 11 meV per atom
Spin magnetization = 0.00 μB per formula unit

Unit cell a=2.6833 b=2.6833 c=9.6987 alpha=90.00 beta=90.00 gamma=120.00
Element x y z (fractional)
1 Li 0.0000 0.0000 0.0000
2 Li 0.3333 0.6667 0.2709
3 Li 0.3333 0.6667 0.7291
4 Os 0.0000 0.0000 0.5000

(4)
# LiOs

A relaxed structure of LiOs (GGA-PBE, the Alexandria database).

Volume = 14.0 Å³/atom
Fermi-level density of states = 1.94 states/eV per cell
Uncorrected energy = -6.205 eV per atom
Spin magnetization = 0.00 μB per formula unit

Unit cell a=2.5245 b=2.5245 c=4.4061 alpha=90.00 beta=90.00 gamma=90.00
Element x y z (fractional)
1 Li 0.0000 0.0000 0.0000
2 Os 0.5000 0.5000 0.5000

(5)
# LiOs

A relaxed structure of LiOs (GGA-PBE, the Alexandria database).

Volume = 17.5 Å³/atom
Fermi-level density of states = 9.54 states/eV per cell
Uncorrected energy = -6.030 eV per atom
Spin magnetization = 0.00 μB per formula unit

Unit cell a=7.3396 b=7.3396 c=7.3396 alpha=91.92 beta=91.92 gamma=158.90
Element x y z (fractional)
1 Li 0.1333 0.1798 0.3132
2 Li 0.1798 0.8667 0.0465
3 Li 0.8202 0.1333 0.9535
4 Li 0.8667 0.8202 0.6868
5 Os 0.0670 0.6365 0.7035
6 Os 0.3635 0.0670 0.4305
7 Os 0.6365 0.9330 0.5695
8 Os 0.9330 0.3635 0.2965

(6)
# LiOs

A relaxed structure of LiOs (GGA-PBE, the Alexandria database).

Volume = 17.0 Å³/atom
Fermi-level density of states = 4.24 states/eV per cell
Uncorrected energy = -6.178 eV per atom
Spin magnetization = 0.00 μB per formula unit

Unit cell a=5.2485 b=5.2485 c=5.2485 alpha=45.98 beta=45.98 gamma=45.98
Element x y z (fractional)
1 Li 0.1181 0.1181 0.1181
2 Li 0.8819 0.8819 0.8819
3 Os 0.3196 0.3196 0.3196
4 Os 0.6804 0.6804 0.6804